Entry 1:
The following is a DFT calculation (GGA-PBE) of an optimized crystal structure of KGaCuF6.

Cell: 7.146 9.589 6.569 Å, 90.00 92.73 90.00°
Space group P2_1/c (No. 14)
One atom of each set of equivalent atoms:
K  0.242  0.118  0.492
Ga  0.000  0.000  0.000
Ga  0.500  0.000  0.000
Cu  0.254  0.736  0.828
F  0.033  0.174  0.127
F  0.070  0.582  0.754
F  0.246  0.016  0.902
F  0.247  0.662  0.089
F  0.441  0.554  0.762
F  0.492  0.189  0.093

Output
- total DFT energy (no corrections) (eV/atom) = -4.399
- calculated volume (Å³/atom) = 12.489

---

Entry 2:
The following is a DFT calculation (GGA-PBE) of an optimized crystal structure of YMgInFe.

Cell: 6.813 6.813 6.813 Å, 90.00 90.00 90.00°
Space group F-43m (No. 216)
One atom of each set of equivalent atoms:
Y  0.000  0.000  0.000
Mg  0.250  0.250  0.750
In  0.250  0.250  0.250
Fe  0.000  0.000  0.500

Output
- total DFT energy (no corrections) (eV/atom) = -4.703
- calculated volume (Å³/atom) = 19.767
- magnetic moment (Bohr magnetons per cell) = 9.3